(1)
Below is a relaxed structure of DyNb4Te8, with properties calculated at the PBE level.

Properties
E_form (uncorrected): -0.492 eV per atom
SG: No. 12
total magnetic moment: 0.000 μB/atom

Geometry as POSCAR:
```
DyNb4Te8
1.0
6.6287 0.0022 -3.5826
-4.2764 6.1949 -0.0004
0.4273 0.2956 8.7370
Dy Nb Te
1 4 8
Cartesian
-1.9245 3.2452 4.3683
0.0000 0.0000 0.0000
4.9178 3.3952 5.1543
1.1762 3.0985 -1.7915
3.3144 0.0011 -1.7913
0.1780 4.6963 0.3223
2.6017 1.7963 4.8318
2.2728 1.5690 0.3569
-0.7040 1.7371 6.6398
0.5068 4.9237 4.7971
-2.9022 4.9214 6.6396
5.6818 1.5713 -1.4855
3.4837 4.7556 -1.4858
```


(2)
Below is a relaxed structure of Dy2NbTe, with properties calculated at the PBE level.

Properties
E_form (uncorrected): 0.287 eV per atom
SG: No. 166
total magnetic moment: 0.000 μB/atom

Geometry as POSCAR:
```
Dy2NbTe
1.0
-2.7514 2.0912 -1.1271
-3.4322 -1.0093 0.6441
-1.8784 5.2886 8.5363
Nb Te Dy
1 1 2
Cartesian
0.0000 0.0000 0.0000
-4.0310 3.1853 4.0266
-1.9301 3.8942 6.0752
-6.1319 2.4764 1.9781
```


(3)
Below is a relaxed structure of Dy2ThNb, with properties calculated at the PBE level.

Properties
SG: No. 166
calculated formation energy: 2.18 eV/f.u.
total magnetic moment: 0.189 μB/atom

Geometry as POSCAR:
```
Dy2ThNb
1.0
-1.7637 1.9710 2.0181
-0.7289 -1.0048 3.0866
9.0190 5.1466 5.5980
Nb Th Dy
1 1 2
Cartesian
0.0000 0.0000 0.0000
3.2632 3.0564 5.3514
6.5574 3.9409 4.6242
-0.0310 2.1719 6.0785
```


(4)
Below is a relaxed structure of DyTm2Nb, with properties calculated at the PBE level.

Properties
SG: No. 166
calculated formation energy: 2.05 eV/f.u.
total magnetic moment: 0.067 μB/atom

Geometry as POSCAR:
```
DyTm2Nb
1.0
3.2677 0.0000 0.0000
1.6338 2.8299 0.0000
1.6338 0.9433 11.4936
Nb Tm Dy
1 2 1
Cartesian
0.0000 0.0000 0.0000
1.6338 0.9433 8.6096
4.9015 2.8299 2.8839
3.2677 1.8866 5.7468
```


(5)
Below is a relaxed structure of DyTmNb4, with properties calculated at the PBE level.

Properties
SG: No. 216
calculated formation energy: 1.01 eV/f.u.
total magnetic moment: 0.000 μB/atom

Geometry as POSCAR:
```
DyTmNb4
1.0
5.7091 0.0000 0.0000
2.8546 4.9443 0.0000
2.8546 1.6481 4.6615
Nb Tm Dy
4 1 1
Cartesian
5.7091 3.2962 0.5845
5.7091 1.6498 2.9128
7.1349 4.1193 2.9128
4.2834 4.1193 2.9128
0.0000 0.0000 0.0000
2.8546 1.6481 1.1654
```


(6)
Below is a relaxed structure of Dy12Tm5Nb3, with properties calculated at the PBE level.

Properties
SG: No. 230
calculated formation energy: 22.17 eV/f.u.
total magnetic moment: 0.000 μB/atom

Geometry as POSCAR:
```
Dy12Tm5Nb3
1.0
15.5142 0.0000 0.0000
-5.1714 14.6269 0.0000
-5.1714 -7.3135 12.6673
Nb Tm Dy
12 20 48
Cartesian
9.0499 4.5709 1.5834
9.0499 10.0560 1.5834
-1.2928 6.3993 7.9170
1.2928 -0.9142 4.7502
11.6356 0.0000 3.1668
1.2928 7.3135 3.1668
3.8785 0.0000 9.5005
-6.4642 7.3135 9.5005
3.8785 8.2276 7.9170
6.4642 0.9142 4.7502
-3.8785 -2.7425 11.0839
-3.8785 2.7425 11.0839
-1.2928 3.6567 3.1668
-2.5857 7.3135 0.0000
0.0000 0.0000 0.0000
3.8785 2.7425 1.5834
5.1714 -3.6567 6.3336
5.1714 7.3135 0.0000
-3.8785 8.2276 4.7502
6.4642 -4.5709 11.0839
6.4642 6.3993 4.7502
1.2928 -3.6567 9.5005
3.8785 10.9702 3.1668
2.5857 3.6567 6.3336
7.7571 0.0000 0.0000
-2.5857 -3.6567 6.3336
-1.2928 0.9142 7.9170
-1.2928 11.8844 1.5834
-5.1714 3.6567 6.3336
9.0499 -0.9142 7.9170
1.2928 4.5709 11.0839
6.4642 3.6567 9.5005
10.3660 1.3586 1.0172
-0.0232 5.2169 5.6657
11.0223 3.4608 3.3027
7.0775 2.5269 1.6852
2.1744 5.9939 8.3474
10.5879 6.9221 2.0137
-0.6796 8.2474 4.9879
-4.4918 12.1000 1.6852
0.4113 8.6330 8.3474
7.5120 7.7048 2.0137
7.7339 3.4551 4.6485
7.7339 13.2683 1.0172
-4.7601 6.5693 7.3508
2.8308 5.7652 1.3457
-5.1482 11.1718 4.6485
2.5625 -2.0965 7.0016
-0.4113 0.5754 3.0309
2.8308 9.2531 0.6680
7.0775 11.1661 3.3027
-0.2451 5.3739 0.6680
-2.9970 7.8888 9.6364
3.2652 6.3796 4.9879
7.3458 8.0576 7.3508
5.4165 -1.5483 11.3215
1.9062 0.9339 7.6794
-2.1744 -0.7442 5.3165
-0.2451 8.8618 1.3457
-1.9062 -3.8527 9.3645
8.1684 -0.5754 3.0309
5.4165 1.9396 11.9993
2.3406 -1.9396 11.9993
2.6089 9.4100 5.6657
5.5827 6.7381 9.6364
10.3196 -3.8583 8.0188
9.9315 0.7442 5.3165
-2.5625 -5.9549 11.6501
2.3406 1.5483 11.3215
4.7601 -1.3196 4.3199
-2.3406 -0.3913 10.6535
-2.5625 3.8583 8.0188
9.6632 -4.7866 10.9821
5.8509 -0.9339 7.6794
-1.9061 4.7866 10.9821
-5.4165 0.3913 10.6535
2.9970 1.3196 4.3199
-5.8509 3.8527 9.3645
5.1946 2.0965 7.0016
-5.1946 5.9549 11.6501
```


(7)
Below is a relaxed structure of DyNbV4, with properties calculated at the PBE level.

Properties
SG: No. 216
calculated formation energy: 1.30 eV/f.u.
total magnetic moment: 0.000 μB/atom

Geometry as POSCAR:
```
DyNbV4
1.0
-2.4137 3.6159 -2.8483
-4.7866 1.5590 1.2932
-0.7463 4.7643 1.9386
Nb V Dy
1 4 1
Cartesian
-1.9867 2.4848 0.0959
-4.5941 3.8286 -0.7306
-2.5718 5.4330 -0.4076
-4.9677 6.2134 0.2398
-3.7595 4.4034 1.6655
0.0000 0.0000 0.0000
```


(8)
Below is a relaxed structure of DyNbV, with properties calculated at the PBE level.

Properties
SG: No. 8
calculated formation energy: 2.12 eV/f.u.
total magnetic moment: 0.000 μB/atom

Geometry as POSCAR:
```
DyNbV
1.0
2.8568 0.0000 0.0000
0.0000 2.9002 0.6006
-1.4284 0.4727 7.6096
V Nb Dy
1 1 1
Cartesian
1.4284 3.0465 5.8426
0.0000 1.6123 7.5552
1.4284 2.0869 3.0225
```


(9)
Below is a relaxed structure of DyNbW, with properties calculated at the PBE level.

Properties
SG: No. 70
calculated formation energy: 1.12 eV/f.u.
total magnetic moment: 0.000 μB/atom

Geometry as POSCAR:
```
DyNbW
1.0
-4.4640 0.0409 -2.3159
-0.7381 -3.8379 -4.1056
-5.9039 -6.7172 5.8006
Nb W Dy
4 4 4
Cartesian
-5.0807 -6.4486 1.4885
-3.7932 -4.0861 -0.9514
-7.4921 -5.5155 3.4227
-2.8757 -1.1608 0.0620
-7.5865 -6.9305 0.8494
-5.7514 -3.5632 -2.6283
-4.9863 -5.0335 4.0617
-5.3815 -1.6427 -0.5771
-7.1315 -4.0521 0.0233
-6.2064 -6.4416 -1.8022
-4.0014 -1.1538 -3.2287
-1.2007 -2.6432 -3.1928
```


(10)
Below is a relaxed structure of DyNbZn2, with properties calculated at the PBE level.

Properties
SG: No. 123
calculated formation energy: -0.29 eV/f.u.
total magnetic moment: 0.000 μB/atom

Geometry as POSCAR:
```
DyNbZn2
1.0
3.5091 0.0000 0.0000
0.0000 3.5091 0.0000
0.0000 0.0000 6.2078
Nb Zn Dy
1 2 1
Cartesian
1.7546 1.7546 0.0000
0.0000 0.0000 4.8827
0.0000 0.0000 1.3251
1.7546 1.7546 3.1039
```


(11)
Below is a relaxed structure of Dy2NbZn, with properties calculated at the PBE level.

Properties
SG: No. 166
calculated formation energy: 1.89 eV/f.u.
total magnetic moment: 0.116 μB/atom

Geometry as POSCAR:
```
Dy2NbZn
1.0
-1.1194 -2.8964 -0.7000
1.9791 -2.2592 -1.0542
2.1145 -4.9042 9.6737
Nb Zn Dy
1 1 2
Cartesian
0.0000 0.0000 0.0000
1.4871 -5.0299 3.9598
1.6132 -4.0306 6.8605
1.3610 -6.0292 1.0591
```


(12)
Below is a relaxed structure of DyNbZn, with properties calculated at the PBE level.

Properties
SG: No. 129
calculated formation energy: -0.17 eV/f.u.
total magnetic moment: 0.000 μB/atom

Geometry as POSCAR:
```
DyNbZn
1.0
4.0524 0.0000 0.0000
0.0000 4.0524 0.0000
0.0000 0.0000 7.9933
Zn Dy Nb
2 2 2
Cartesian
2.0262 0.0000 5.9799
0.0000 2.0262 2.0134
2.0262 0.0000 1.2974
0.0000 2.0262 6.6959
2.0262 2.0262 3.9967
0.0000 0.0000 3.9967
```